ScTaBe: relaxed, GGA-PBE.

a = 3.0717 Å, b = 3.0717 Å, c = 6.3638 Å
α = 90.00°, β = 90.00°, γ = 120.00°
Fractional positions:
Sc (0.6667, 0.3333, 0.3128)
Be (0.0000, 0.0000, 0.9896)
Ta (0.3333, 0.6667, 0.6976)

Summary:
N(E_F) (states/eV/cell): 2.0
Energy above the most stable polymorph in this dataset (meV per atom): 229
E_tot (eV/atom): -6.99
Symmetry: P3m1 (156)